(1)
Material: TmPuThPb
Method: DFT, PBE
State: optimized geometry

Cell: 5.4204 5.4204 5.4204 Å, 60.00 60.00 60.00°
Closest atoms and distances in Å follow each position.
Element x y z (fractional)
1 Pb 0.0000 0.0000 0.0000  4 Pu 3.32, 4 Tm 3.32
2 Tm 0.7500 0.7500 0.7500  4 Th 3.32, 4 Pb 3.32
3 Th 0.5000 0.5000 0.5000  4 Tm 3.32, 4 Pu 3.32
4 Pu 0.2500 0.2500 0.2500  4 Pb 3.32, 4 Th 3.32

DOS(E_F): 2.841 states/eV/atom
theoretical density: 12.6 g/cm3
volume: 28.15 A^3/atom
E_form: 0.064 eV/atom
calculated total energy: -7.419 eV/atom

(2)
Material: CePrGe2
Method: DFT, PBE
State: optimized geometry

Cell: 4.3965 4.3965 7.2191 Å, 72.27 72.27 60.00°
Closest atoms and distances in Å follow each position.
Element x y z (fractional)
1 Ce 0.6680 0.6680 0.9960  6 Ge 3.01-3.02
2 Pr 0.4965 0.4965 0.5105  6 Ge 3.03-3.14
3 Ge 0.0815 0.0815 0.7554  3 Ce 3.01, 3 Pr 3.03
4 Ge 0.2540 0.2540 0.2381  3 Ce 3.02, 3 Pr 3.14

DOS(E_F): 1.605 states/eV/atom
theoretical density: 6.3 g/cm3
volume: 28.28 A^3/atom
E_form: -0.526 eV/atom
calculated total energy: -5.513 eV/atom

(3)
Material: HoGa4Rh
Method: DFT, PBE
State: optimized geometry

Cell: 7.2176 7.2176 5.1916 Å, 90.00 90.00 90.00°
Closest atoms and distances in Å follow each position.
Element x y z (fractional)
1 Ho 0.0000 0.0000 0.5000  2 Rh 2.60
2 Ho 0.5000 0.5000 0.0000  2 Rh 2.60
3 Ga 0.3329 0.0000 0.0460  1 Ga 2.41, 1 Rh 2.41
4 Ga 0.6671 0.0000 0.0460  1 Ga 2.41, 1 Rh 2.41
5 Ga 0.0000 0.6671 0.9540  1 Ga 2.41, 1 Rh 2.41
6 Ga 0.0000 0.3329 0.9540  1 Ga 2.41, 1 Rh 2.41
7 Ga 0.5000 0.1671 0.5460  1 Ga 2.41, 1 Rh 2.41
8 Ga 0.8329 0.5000 0.4540  1 Ga 2.41, 1 Rh 2.41
9 Ga 0.1671 0.5000 0.4540  1 Ga 2.41, 1 Rh 2.41
10 Ga 0.5000 0.8329 0.5460  1 Ga 2.41, 1 Rh 2.41
11 Rh 0.0000 0.0000 0.0000  4 Ga 2.41, 2 Ho 2.60
12 Rh 0.5000 0.5000 0.5000  4 Ga 2.41, 2 Ho 2.60

DOS(E_F): 0.467 states/eV/atom
theoretical density: 6.7 g/cm3
volume: 22.54 A^3/atom
E_form: -0.228 eV/atom
calculated total energy: -4.235 eV/atom

(4)
Material: Rb2UTeSe5
Method: DFT, PBE
State: optimized geometry

Cell: 4.3497 11.2087 13.5439 Å, 90.00 90.00 101.19°
Closest atoms and distances in Å follow each position.
Element x y z (fractional)
1 Rb 0.8714 0.7427 0.8097  7 Se 3.53-3.68
2 Rb 0.1311 0.2621 0.7099  7 Se 3.52-3.67
3 Rb 0.1286 0.2573 0.3097  7 Se 3.53-3.68
4 Rb 0.8689 0.7379 0.2099  7 Se 3.52-3.67
5 U 0.7760 0.5519 0.5075  5 Se 2.62-2.81
6 U 0.2240 0.4481 0.0075  5 Se 2.62-2.81
7 Te 0.5191 0.0382 0.9715  3 Se 2.47-2.69
8 Te 0.4809 0.9618 0.4715  3 Se 2.47-2.69
9 Se 0.3430 0.6860 0.0100  1 U 2.62
10 Se 0.7137 0.4273 0.8782  2 U 2.80
11 Se 0.5061 0.0121 0.7905  1 Te 2.47
12 Se 0.2893 0.5787 0.6368  2 U 2.81
13 Se 0.9132 0.8264 0.5099  2 Te 2.69
14 Se 0.6570 0.3140 0.5100  1 U 2.62
15 Se 0.2863 0.5727 0.3782  2 U 2.80
16 Se 0.4939 0.9879 0.2905  1 Te 2.47
17 Se 0.7107 0.4213 0.1368  2 U 2.81
18 Se 0.0868 0.1736 0.0099  2 Te 2.69

E_form (uncorrected): -7.40 eV/f.u.
DOS(E_F): 0.596 states/eV/atom
theoretical density: 4.8 g/cm3
volume: 35.99 A^3/atom
calculated total energy: -4.577 eV/atom

(5)
Material: Ca3SbTe
Method: DFT, PBE
State: optimized geometry

Cell: 8.7275 8.6466 8.7275 Å, 89.99 98.72 90.01°
Closest atoms and distances in Å follow each position.
Element x y z (fractional)
1 Ca 0.1981 0.5846 0.0053  3 Sb 3.21-3.45, 2 Te 3.30
2 Ca 0.0053 0.9154 0.1981  3 Sb 3.21-3.45, 2 Te 3.30
3 Ca 0.8019 0.4154 0.9947  3 Sb 3.21-3.45, 2 Te 3.30
4 Ca 0.9947 0.0846 0.8019  3 Sb 3.21-3.45, 2 Te 3.30
5 Ca 0.5777 0.7813 0.0775  3 Te 3.07-3.13, 2 Sb 3.33
6 Ca 0.0775 0.7187 0.5777  3 Te 3.07-3.13, 2 Sb 3.33
7 Ca 0.4223 0.2187 0.9225  3 Te 3.07-3.13, 2 Sb 3.33
8 Ca 0.9225 0.2813 0.4223  3 Te 3.07-3.13, 2 Sb 3.33
9 Ca 0.5034 0.5847 0.6984  3 Sb 3.22-3.43, 2 Te 3.30-3.31
10 Ca 0.6984 0.9153 0.5034  3 Sb 3.22-3.43, 2 Te 3.30-3.31
11 Ca 0.4966 0.4153 0.3016  3 Sb 3.22-3.43, 2 Te 3.30-3.31
12 Ca 0.3016 0.0847 0.4966  3 Sb 3.22-3.43, 2 Te 3.30-3.31
13 Sb 0.1501 0.2500 0.1501  8 Ca 3.21-3.45
14 Sb 0.8499 0.7500 0.8499  8 Ca 3.21-3.45
15 Sb 0.6483 0.2500 0.6483  8 Ca 3.22-3.43
16 Sb 0.3517 0.7500 0.3517  8 Ca 3.22-3.43
17 Te 0.3177 0.8833 0.8197  7 Ca 3.07-3.31
18 Te 0.8197 0.6167 0.3177  7 Ca 3.07-3.31
19 Te 0.6823 0.1167 0.1803  7 Ca 3.07-3.31
20 Te 0.1803 0.3833 0.6823  7 Ca 3.07-3.31

E_form (uncorrected): -5.67 eV/f.u.
DOS(E_F): 0.007 states/eV/atom
excess energy over the best structure of this formula in the dataset: 0 meV/atom
theoretical density: 3.8 g/cm3
volume: 32.55 A^3/atom
calculated total energy: -3.789 eV/atom

(6)
Material: Tl8Cd2Bi
Method: DFT, PBE
State: optimized geometry

Cell: 6.2328 8.8786 8.8786 Å, 43.64 89.90 89.90°
Closest atoms and distances in Å follow each position.
Element x y z (fractional)
1 Tl 0.6038 0.1611 0.6552  2 Cd 3.16-3.29, 4 Tl 3.26-3.49, 1 Bi 3.35
2 Tl 0.3962 0.3448 0.8389  2 Cd 3.16-3.29, 4 Tl 3.26-3.49, 1 Bi 3.35
3 Tl 0.8909 0.2053 0.2053  2 Cd 3.20-3.24, 1 Bi 3.45
4 Tl 0.1091 0.7947 0.7947  2 Cd 3.20-3.24, 1 Bi 3.45
5 Tl 0.6038 0.6552 0.1611  2 Cd 3.16-3.29, 4 Tl 3.26-3.49, 1 Bi 3.35
6 Tl 0.3962 0.8389 0.3448  2 Cd 3.16-3.29, 4 Tl 3.26-3.49, 1 Bi 3.35
7 Tl 0.0995 0.4087 0.4087  1 Cd 3.14, 3 Tl 3.25-3.49
8 Tl 0.9005 0.5913 0.5913  1 Cd 3.14, 3 Tl 3.25-3.49
9 Cd 0.3946 0.2545 0.2545  7 Tl 3.14-3.29
10 Cd 0.6054 0.7455 0.7455  7 Tl 3.14-3.29
11 Bi 0.0000 0.0000 0.0000  10 Tl 3.35-3.68

DOS(E_F): 0.401 states/eV/atom
excess energy over the best structure of this formula in the dataset: 15 meV/atom
theoretical density: 10.1 g/cm3
volume: 30.83 A^3/atom
E_form: 0.043 eV/atom
calculated total energy: -2.197 eV/atom

> The highest calculated total energy belongs to which entry?

Tl8Cd2Bi

> What is the volume in the first record?

28.15 A^3/atom